BaSr3Ac | PBE | relaxed

Cell: 6.821 6.821 6.821 Å, 90.00 90.00 90.00°
Space group Pm-3m (No. 221)
Symmetry-distinct sites (fractional):
1 Ba 0.000 0.000 0.000 (multiplicity 1)
2 Sr 0.000 0.500 0.500 (multiplicity 3)
3 Ac 0.500 0.500 0.500 (multiplicity 1)

Values from the calculation:
Energy above the lowest structure with this stoichiometry in eV/atom: 0.387
Theoretical density in g/cm³: 3.28
Total magnetization in Bohr magnetons per cell: 1.4
Total energy in eV per atom: -1.632
Crystal system: cubic

ErTcB4 | PBE | relaxed

Cell: 3.144 5.352 7.067 Å, 90.00 90.00 90.00°
Space group Immm (No. 71)
Symmetry-distinct sites (fractional):
1 Er 0.000 0.000 0.000 (multiplicity 2)
2 Tc 0.000 0.000 0.500 (multiplicity 2)
3 B 0.000 0.336 0.250 (multiplicity 8)

Values from the calculation:
Energy above the lowest structure with this stoichiometry in eV/atom: 0.228
Theoretical density in g/cm³: 8.62
Total magnetization in Bohr magnetons per cell: 0.0
Total energy in eV per atom: -7.358
Crystal system: orthorhombic

La2Tl2Hg | PBE | relaxed

Cell: 12.046 4.501 7.028 Å, 90.00 125.40 90.00°
Space group C2/m (No. 12)
Symmetry-distinct sites (fractional):
1 La 0.221 0.000 0.222 (multiplicity 4)
2 Tl 0.000 0.500 0.219 (multiplicity 4)
3 Hg 0.000 0.000 0.500 (multiplicity 2)

Values from the calculation:
Energy above the lowest structure with this stoichiometry in eV/atom: 0.097
Theoretical density in g/cm³: 9.49
Total magnetization in Bohr magnetons per cell: 0.0
Total energy in eV per atom: -3.277
Crystal system: monoclinic

RbGa2Sb2 | PBE | relaxed

Cell: 5.216 5.216 10.502 Å, 90.00 90.00 90.00°
Space group I4/mmm (No. 139)
Symmetry-distinct sites (fractional):
1 Rb 0.000 0.000 0.000 (multiplicity 2)
2 Ga 0.000 0.000 0.375 (multiplicity 4)
3 Sb 0.000 0.500 0.250 (multiplicity 4)

Values from the calculation:
Energy above the lowest structure with this stoichiometry in eV/atom: 0.109
Theoretical density in g/cm³: 5.44
Total magnetization in Bohr magnetons per cell: 0.0
Total energy in eV per atom: -3.225
Crystal system: tetragonal
Uncorrected formation energy in eV per atom: -0.172

Dy3MgO | PBE | relaxed

Cell: 4.827 4.827 4.827 Å, 90.00 90.00 90.00°
Space group Pm-3m (No. 221)
Symmetry-distinct sites (fractional):
1 Dy 0.000 0.000 0.500 (multiplicity 3)
2 Mg 0.500 0.500 0.500 (multiplicity 1)
3 O 0.000 0.000 0.000 (multiplicity 1)

Values from the calculation:
Theoretical density in g/cm³: 7.79
Total magnetization in Bohr magnetons per cell: 0.0
Total energy in eV per atom: -5.269
Crystal system: cubic
Uncorrected formation energy in eV per atom: -1.197

Tl6AgAu3 | PBE | relaxed

Cell: 11.875 3.717 12.997 Å, 90.00 108.14 90.00°
Space group P2_1/m (No. 11)
Symmetry-distinct sites (fractional):
1 Tl 0.005 0.250 0.131 (multiplicity 2)
2 Tl 0.130 0.750 0.472 (multiplicity 2)
3 Tl 0.235 0.250 0.785 (multiplicity 2)
4 Tl 0.307 0.250 0.244 (multiplicity 2)
5 Tl 0.385 0.750 0.025 (multiplicity 2)
6 Tl 0.414 0.250 0.614 (multiplicity 2)
7 Ag 0.449 0.750 0.808 (multiplicity 2)
8 Au 0.047 0.750 0.664 (multiplicity 2)
9 Au 0.178 0.250 0.004 (multiplicity 2)
10 Au 0.353 0.750 0.427 (multiplicity 2)

Values from the calculation:
Theoretical density in g/cm³: 11.73
Total magnetization in Bohr magnetons per cell: 0.0
Total energy in eV per atom: -2.663
Crystal system: monoclinic

Which value of total magnetization does entry 6 give? 0.0 Bohr magnetons per cell